DFT (PBE-GGA) results for crystalline TbH7C8SO9 at its relaxed geometry.

POSCAR file:
```
TbH7C8SO9
1.0
-1.834 -5.851 1.210
3.277 3.275 7.191
-9.093 5.058 1.530
H C O Tb S
14 16 18 2 2
direct
0.610 0.412 0.144 H
0.543 0.097 0.680 H
0.683 0.045 0.388 H
0.586 0.506 0.652 H
0.354 0.642 0.083 H
0.818 0.848 0.946 H
0.457 0.903 0.320 H
0.659 0.356 0.714 H
0.341 0.644 0.286 H
0.390 0.588 0.856 H
0.317 0.955 0.612 H
0.182 0.152 0.054 H
0.414 0.494 0.348 H
0.646 0.358 0.917 H
0.950 0.798 0.926 C
0.731 0.350 0.123 C
0.159 0.653 0.638 C
0.082 0.748 0.028 C
0.864 0.304 0.227 C
0.918 0.252 0.972 C
0.752 0.321 0.996 C
0.980 0.776 0.800 C
0.020 0.759 0.157 C
0.269 0.650 0.877 C
0.020 0.224 0.200 C
0.248 0.679 0.004 C
0.050 0.202 0.074 C
0.841 0.347 0.362 C
0.980 0.241 0.843 C
0.136 0.696 0.773 C
0.181 0.514 0.616 O
0.385 0.075 0.636 O
0.819 0.486 0.384 O
0.626 0.873 0.747 O
0.087 0.033 0.390 O
0.374 0.127 0.253 O
0.155 0.756 0.553 O
0.149 0.742 0.262 O
0.845 0.244 0.447 O
0.615 0.925 0.364 O
0.684 0.686 0.583 O
0.316 0.314 0.417 O
0.831 0.783 0.164 O
0.169 0.217 0.836 O
0.913 0.967 0.610 O
0.467 0.593 0.300 O
0.851 0.258 0.738 O
0.533 0.407 0.700 O
0.152 0.243 0.612 Tb
0.848 0.757 0.388 Tb
0.786 0.831 0.680 S
0.214 0.169 0.320 S
```

Results
The space-group type is P-1 (2). As for the density: 2.769 g/cm³. As for the final energy: -6.761 eV per atom.